# 1
! NbReOsPd2 PBE relaxed; values from VASP
&SYSTEM
  ibrav = 0, nat = 5, ntyp = 4
/
ATOMIC_SPECIES
Nb 92.91 Nb.upf
Re 186.21 Re.upf
Os 190.23 Os.upf
Pd 106.42 Pd.upf
CELL_PARAMETERS angstrom
4.728 0.000 0.000
0.000 4.728 0.000
0.000 0.000 4.663
ATOMIC_POSITIONS crystal
Nb 0.000 0.000 0.000
Re 0.500 0.500 0.500
Os 0.500 0.500 0.000
Pd 0.000 0.500 0.500
Pd 0.500 0.000 0.500
! - E_tot: -7.19 eV/atom
! - Density of states at the Fermi level: 1.5104 states/eV per atom
! - SG: No. 123
! - Formation energy from the elements: 1.63 eV/atom


# 2
! KGa2Ni2 PBE relaxed; values from VASP
&SYSTEM
  ibrav = 0, nat = 10, ntyp = 3
/
ATOMIC_SPECIES
K 39.10 K.upf
Ga 69.72 Ga.upf
Ni 58.69 Ni.upf
CELL_PARAMETERS angstrom
7.738 0.000 0.000
0.000 7.738 0.000
0.000 0.000 2.670
ATOMIC_POSITIONS crystal
K 0.000 0.000 0.000
K 0.500 0.500 0.000
Ga 0.131 0.369 0.500
Ga 0.369 0.869 0.500
Ga 0.631 0.131 0.500
Ga 0.869 0.631 0.500
Ni 0.157 0.657 0.000
Ni 0.343 0.157 0.000
Ni 0.657 0.843 0.000
Ni 0.843 0.343 0.000
! - E_tot: -3.78 eV/atom
! - Density of states at the Fermi level: 0.4345 states/eV per atom
! - SG: No. 127
! - Formation energy from the elements: -0.04 eV/atom
! - ΔE to the lowest computed polymorph: 30 meV/atom


# 3
! SnRu3Au PBE relaxed; values from VASP
&SYSTEM
  ibrav = 0, nat = 5, ntyp = 3
/
ATOMIC_SPECIES
Sn 118.71 Sn.upf
Ru 101.07 Ru.upf
Au 196.97 Au.upf
CELL_PARAMETERS angstrom
4.862 0.000 0.000
0.000 4.862 0.000
0.000 0.000 4.862
ATOMIC_POSITIONS crystal
Sn 0.000 0.000 0.000
Ru 0.000 0.000 0.500
Ru 0.000 0.500 0.000
Ru 0.500 0.000 0.000
Au 0.500 0.500 0.500
! - E_tot: -5.19 eV/atom
! - Density of states at the Fermi level: 1.0026 states/eV per atom
! - SG: No. 221
! - Formation energy from the elements: 1.84 eV/atom
! - ΔE to the lowest computed polymorph: 0 meV/atom


# 4
! RbMgTa3 PBE relaxed; values from VASP
&SYSTEM
  ibrav = 0, nat = 5, ntyp = 3
/
ATOMIC_SPECIES
Rb 85.47 Rb.upf
Mg 24.30 Mg.upf
Ta 180.95 Ta.upf
CELL_PARAMETERS angstrom
4.839 0.000 0.000
0.000 4.839 0.000
0.000 0.000 4.839
ATOMIC_POSITIONS crystal
Rb 0.000 0.000 0.000
Mg 0.500 0.500 0.500
Ta 0.000 0.000 0.500
Ta 0.000 0.500 0.000
Ta 0.500 0.000 0.000
! - E_tot: -4.67 eV/atom
! - Density of states at the Fermi level: 0.7142 states/eV per atom
! - SG: No. 221
! - Formation energy from the elements: 2.96 eV/atom
! - ΔE to the lowest computed polymorph: 564 meV/atom


# 5
! La2HCl2 PBE relaxed; values from VASP
&SYSTEM
  ibrav = 0, nat = 10, ntyp = 3
/
ATOMIC_SPECIES
La 138.91 La.upf
H 1.01 H.upf
Cl 35.45 Cl.upf
CELL_PARAMETERS angstrom
9.891 -2.045 0.000
9.891 2.045 0.000
-0.813 0.000 7.085
ATOMIC_POSITIONS crystal
La 0.174 0.174 0.391
La 0.326 0.326 0.106
La 0.674 0.674 0.894
La 0.826 0.826 0.609
H 0.205 0.205 0.068
H 0.795 0.795 0.932
Cl 0.088 0.088 0.696
Cl 0.414 0.414 0.804
Cl 0.586 0.586 0.196
Cl 0.912 0.912 0.304
! - E_tot: -4.84 eV/atom
! - Density of states at the Fermi level: 0.1835 states/eV per atom
! - SG: No. 12
! - ΔE to the lowest computed polymorph: 0 meV/atom


# 6
! ScCuPd2 PBE relaxed; values from VASP
&SYSTEM
  ibrav = 0, nat = 8, ntyp = 3
/
ATOMIC_SPECIES
Sc 44.96 Sc.upf
Cu 63.55 Cu.upf
Pd 106.42 Pd.upf
CELL_PARAMETERS angstrom
-3.490 3.490 2.789
3.490 -3.490 2.789
3.490 3.490 -2.789
ATOMIC_POSITIONS crystal
Sc 0.000 0.000 0.000
Sc 0.750 0.250 0.500
Cu 0.250 0.750 0.500
Cu 0.500 0.500 0.000
Pd 0.139 0.625 0.014
Pd 0.375 0.389 0.514
Pd 0.611 0.125 0.986
Pd 0.875 0.861 0.486
! - E_tot: -5.54 eV/atom
! - Density of states at the Fermi level: 0.1655 states/eV per atom
! - SG: No. 122
! - Formation energy from the elements: -0.34 eV/atom


# 7
! Sr2ZrSc PBE relaxed; values from VASP
&SYSTEM
  ibrav = 0, nat = 4, ntyp = 3
/
ATOMIC_SPECIES
Sr 87.62 Sr.upf
Zr 91.22 Zr.upf
Sc 44.96 Sc.upf
CELL_PARAMETERS angstrom
0.000 4.065 4.065
4.065 0.000 4.065
4.065 4.065 0.000
ATOMIC_POSITIONS crystal
Sr 0.000 0.000 0.000
Sr 0.250 0.250 0.250
Zr 0.750 0.750 0.750
Sc 0.500 0.500 0.500
! - E_tot: -4.03 eV/atom
! - Density of states at the Fermi level: 1.7231 states/eV per atom
! - SG: No. 216
! - Formation energy from the elements: 0.53 eV/atom
! - ΔE to the lowest computed polymorph: 254 meV/atom


# 8
! Hg2OsI PBE relaxed; values from VASP
&SYSTEM
  ibrav = 0, nat = 4, ntyp = 3
/
ATOMIC_SPECIES
Hg 200.59 Hg.upf
Os 190.23 Os.upf
I 126.90 I.upf
CELL_PARAMETERS angstrom
0.000 3.577 3.577
3.577 0.000 3.577
3.577 3.577 0.000
ATOMIC_POSITIONS crystal
Hg 0.250 0.250 0.250
Hg 0.750 0.750 0.750
Os 0.000 0.000 0.000
I 0.500 0.500 0.500
! - E_tot: -1.94 eV/atom
! - Density of states at the Fermi level: 0.5773 states/eV per atom
! - Energy relative to the elements, uncorrected: 135.8 kJ per mole of atoms
! - SG: No. 225
! - ΔE to the lowest computed polymorph: 254 meV/atom


# 9
! Rb2PrP2S6 PBE relaxed; values from VASP
&SYSTEM
  ibrav = 0, nat = 11, ntyp = 4
/
ATOMIC_SPECIES
Rb 85.47 Rb.upf
Pr 140.91 Pr.upf
P 30.97 P.upf
S 32.06 S.upf
CELL_PARAMETERS angstrom
6.074 -3.529 0.000
6.074 3.529 0.000
-4.009 0.000 7.215
ATOMIC_POSITIONS crystal
Rb 0.213 0.213 0.198
Rb 0.787 0.787 0.802
Pr 0.000 0.000 0.500
P 0.454 0.454 0.826
P 0.546 0.546 0.174
S 0.219 0.699 0.205
S 0.260 0.260 0.637
S 0.301 0.781 0.795
S 0.699 0.219 0.205
S 0.740 0.740 0.363
S 0.781 0.301 0.795
! - E_tot: -4.74 eV/atom
! - Density of states at the Fermi level: 0.2211 states/eV per atom
! - Energy relative to the elements, uncorrected: -86.6 kJ per mole of atoms
! - SG: No. 12


# 10
! Sr2LiZn4Sn3 PBE relaxed; values from VASP
&SYSTEM
  ibrav = 0, nat = 10, ntyp = 4
/
ATOMIC_SPECIES
Sr 87.62 Sr.upf
Li 6.94 Li.upf
Zn 65.41 Zn.upf
Sn 118.71 Sn.upf
CELL_PARAMETERS angstrom
4.511 0.000 0.000
0.000 4.511 0.000
0.000 0.000 11.727
ATOMIC_POSITIONS crystal
Sr 0.000 0.500 0.248
Sr 0.500 0.000 0.752
Li 0.000 0.000 0.500
Zn 0.000 0.000 0.000
Zn 0.000 0.500 0.633
Zn 0.500 0.000 0.367
Zn 0.500 0.500 0.000
Sn 0.000 0.500 0.862
Sn 0.500 0.000 0.138
Sn 0.500 0.500 0.500
! - E_tot: -2.60 eV/atom
! - Density of states at the Fermi level: 0.3241 states/eV per atom
! - SG: No. 115
! - Formation energy from the elements: -0.36 eV/atom


# 11
! TbTm7Th2 PBE relaxed; values from VASP
&SYSTEM
  ibrav = 0, nat = 10, ntyp = 3
/
ATOMIC_SPECIES
Tb 158.93 Tb.upf
Tm 168.93 Tm.upf
Th 232.04 Th.upf
CELL_PARAMETERS angstrom
9.133 -1.769 0.000
9.133 1.769 0.000
-2.710 0.000 9.522
ATOMIC_POSITIONS crystal
Tb 0.000 0.000 0.000
Tm 0.000 0.000 0.500
Tm 0.201 0.201 0.603
Tm 0.397 0.397 0.197
Tm 0.400 0.400 0.697
Tm 0.600 0.600 0.303
Tm 0.603 0.603 0.803
Tm 0.799 0.799 0.397
Th 0.199 0.199 0.100
Th 0.801 0.801 0.900
! - E_tot: -5.05 eV/atom
! - Density of states at the Fermi level: 1.4418 states/eV per atom
! - SG: No. 12
! - Formation energy from the elements: 0.03 eV/atom


# 12
! Cs2Tl4BiPb3 PBE relaxed; values from VASP
&SYSTEM
  ibrav = 0, nat = 10, ntyp = 4
/
ATOMIC_SPECIES
Cs 132.91 Cs.upf
Tl 204.38 Tl.upf
Bi 208.98 Bi.upf
Pb 207.20 Pb.upf
CELL_PARAMETERS angstrom
5.259 0.000 0.000
0.000 5.259 0.000
0.000 0.000 14.103
ATOMIC_POSITIONS crystal
Cs 0.000 0.500 0.248
Cs 0.500 0.000 0.752
Tl 0.000 0.000 0.000
Tl 0.000 0.500 0.640
Tl 0.500 0.000 0.360
Tl 0.500 0.500 0.000
Bi 0.000 0.000 0.500
Pb 0.000 0.500 0.873
Pb 0.500 0.000 0.127
Pb 0.500 0.500 0.500
! - E_tot: -2.72 eV/atom
! - Density of states at the Fermi level: 0.4205 states/eV per atom
! - SG: No. 115
! - Formation energy from the elements: -0.10 eV/atom